# 1
# Ca2HfGa2 (PBE, relaxed)
# Spin magnetization, μB/cell: 1.38
# Crystal system: tetragonal
data_Ca2HfGa2
_chemical_formula_sum 'Ca4 Hf2 Ga4'
_cell_length_a 7.234
_cell_length_b 7.234
_cell_length_c 4.798
_cell_angle_alpha 90.00
_cell_angle_beta 90.00
_cell_angle_gamma 90.00
_space_group_name_H-M_alt 'P 4/m b m'
_space_group_IT_number 127
_space_group_name_Hall '-P 4 2ab'
loop_
_atom_site_label
_atom_site_type_symbol
_atom_site_fract_x
_atom_site_fract_y
_atom_site_fract_z
Ca1 Ca 0.174 0.326 0.000
Hf1 Hf 0.000 0.000 0.500
Ga1 Ga 0.131 0.631 0.500



# 2
# As3P (PBE, relaxed)
# Excess energy over the best structure of this formula in the dataset, eV/f.u.: 0.00
# Spin magnetization, μB/cell: 0.00
# Crystal system: orthorhombic
data_As3P
_chemical_formula_sum 'As12 P4'
_cell_length_a 7.317
_cell_length_b 8.407
_cell_length_c 5.442
_cell_angle_alpha 90.00
_cell_angle_beta 90.00
_cell_angle_gamma 90.00
_space_group_name_H-M_alt 'C m c m'
_space_group_IT_number 63
_space_group_name_Hall '-C 2c 2'
loop_
_atom_site_label
_atom_site_type_symbol
_atom_site_fract_x
_atom_site_fract_y
_atom_site_fract_z
As1 As 0.000 0.232 0.250
As2 As 0.245 0.470 0.750
P1 P 0.000 0.284 0.750



# 3
# Tm4ZrAu5 (PBE, relaxed)
# Spin magnetization, μB/cell: 0.81
# Crystal system: tetragonal
data_Tm4ZrAu5
_chemical_formula_sum 'Tm4 Zr1 Au5'
_cell_length_a 3.509
_cell_length_b 3.509
_cell_length_c 17.829
_cell_angle_alpha 90.00
_cell_angle_beta 90.00
_cell_angle_gamma 90.00
_space_group_name_H-M_alt 'P 4/m m m'
_space_group_IT_number 123
_space_group_name_Hall '-P 4 2'
loop_
_atom_site_label
_atom_site_type_symbol
_atom_site_fract_x
_atom_site_fract_y
_atom_site_fract_z
Tm1 Tm 0.000 0.000 0.102
Tm2 Tm 0.000 0.000 0.304
Zr1 Zr 0.000 0.000 0.500
Au1 Au 0.500 0.500 0.000
Au2 Au 0.500 0.500 0.202
Au3 Au 0.500 0.500 0.405



Which energy of formation belongs to each record? In order, -162, 58, -795 meV per atom.